Pm5SmTm2Sc | PBE-GGA | optimized geometry

Summary:
Formation energy in meV/atom: 162
Magnetic moment in μB/atom: 0.000

Cell lengths 5.5868, 20.3076, 10.4490 Å; angles 90.00, 90.00, 90.00 degrees
Closest atoms and distances in Å follow each position.
Space group Cmc2_1 (No. 36)
Inequivalent atoms, fractional coordinates:
Pm 0.0000 0.0142 0.0000 (multiplicity 4)  2 Sm 3.15-3.37, 2 Tm 3.49
Pm 0.0000 0.1250 0.2763 (multiplicity 4)  4 Tm 3.58-3.62, 6 Pm 3.59-4.00, 1 Sc 3.66
Pm 0.0000 0.2009 0.9665 (multiplicity 4)  3 Pm 3.39-3.59, 1 Sm 3.40, 2 Sc 3.45, 3 Tm 3.48-3.72
Pm 0.0000 0.2248 0.5795 (multiplicity 4)  1 Sm 3.03, 1 Tm 3.32, 2 Pm 3.39
Pm 0.0000 0.4842 0.2708 (multiplicity 4)  2 Sm 3.26, 4 Tm 3.39-3.62, 1 Sc 3.64
Sm 0.0000 0.0935 0.7172 (multiplicity 4)  5 Pm 3.03-3.37
Tm 0.0000 0.3837 0.9959 (multiplicity 4)  1 Sc 3.30, 6 Pm 3.52-3.66, 2 Sm 3.66
Tm 0.0000 0.3880 0.5628 (multiplicity 4)  9 Pm 3.32-3.62, 1 Sc 3.47
Sc 0.0000 0.3052 0.2729 (multiplicity 4)  2 Tm 3.30-3.47, 7 Pm 3.45-3.66, 2 Sm 3.52